# PBE-GGA Be2SbTe, optimized geometry
data_Be2SbTe
_symmetry_space_group_name_H-M 'I m m m'
_symmetry_Int_Tables_number 71
_symmetry_space_group_name_Hall '-I 2 2'
_cell_length_a 3.614
_cell_length_b 6.073
_cell_length_c 7.403
_cell_angle_alpha 90.00
_cell_angle_beta 90.00
_cell_angle_gamma 90.00
loop_
_atom_site_label
_atom_site_fract_x
_atom_site_fract_y
_atom_site_fract_z
Be1 0.000 0.000 0.245
Sb1 0.000 0.500 0.000
Te1 0.000 0.500 0.500
# - Crystal system: orthorhombic
# - Density of states at the Fermi level: 3.46 states/eV/cell
# - E_form (uncorrected): 0.597 eV per atom


# PBE-GGA K2TeF, optimized geometry
data_K2TeF
_symmetry_space_group_name_H-M 'P 4/m m m'
_symmetry_Int_Tables_number 123
_symmetry_space_group_name_Hall '-P 4 2'
_cell_length_a 3.510
_cell_length_b 3.510
_cell_length_c 8.346
_cell_angle_alpha 90.00
_cell_angle_beta 90.00
_cell_angle_gamma 90.00
loop_
_atom_site_label
_atom_site_fract_x
_atom_site_fract_y
_atom_site_fract_z
K1 0.000 0.000 0.191
Te1 0.500 0.500 0.500
F1 0.500 0.500 0.000
# - Crystal system: tetragonal
# - Density of states at the Fermi level: 0.83 states/eV/cell
# - E_form (uncorrected): -1.631 eV per atom


# PBE-GGA CuMo2Pb, optimized geometry
data_CuMo2Pb
_symmetry_space_group_name_H-M 'I m m 2'
_symmetry_Int_Tables_number 44
_symmetry_space_group_name_Hall 'I 2 -2'
_cell_length_a 3.461
_cell_length_b 4.638
_cell_length_c 8.547
_cell_angle_alpha 90.00
_cell_angle_beta 90.00
_cell_angle_gamma 90.00
loop_
_atom_site_label
_atom_site_fract_x
_atom_site_fract_y
_atom_site_fract_z
Cu1 0.000 0.000 0.000
Mo1 0.000 0.000 0.520
Mo2 0.000 0.500 0.245
Pb1 0.000 0.500 0.747
# - Crystal system: orthorhombic
# - Density of states at the Fermi level: 6.65 states/eV/cell
# - Calculated total energy: -54.60 eV per cell


# PBE-GGA MnPd14W, optimized geometry
data_MnPd14W
_symmetry_space_group_name_H-M 'P 4/m m m'
_symmetry_Int_Tables_number 123
_symmetry_space_group_name_Hall '-P 4 2'
_cell_length_a 5.601
_cell_length_b 5.601
_cell_length_c 7.782
_cell_angle_alpha 90.00
_cell_angle_beta 90.00
_cell_angle_gamma 90.00
loop_
_atom_site_label
_atom_site_fract_x
_atom_site_fract_y
_atom_site_fract_z
Mn1 0.000 0.000 0.000
Pd1 0.000 0.000 0.500
Pd2 0.000 0.500 0.000
Pd3 0.000 0.500 0.500
Pd4 0.252 0.252 0.242
Pd5 0.500 0.500 0.500
W1 0.500 0.500 0.000
# - Crystal system: tetragonal
# - Density of states at the Fermi level: 22.38 states/eV/cell
# - Calculated total energy: -96.42 eV per cell